First-principles (PBE) data for a relaxed PmPr2Ga2Cu2 crystal, as listed in the Alexandria database.

Geometry as CIF:
```
data_PmPr2Ga2Cu2
_space_group_name_H-M_alt 'R -3 m'
_space_group_IT_number 166
_space_group_name_Hall '-R 3 2"'
_cell_length_a 4.4515
_cell_length_b 4.4515
_cell_length_c 28.6432
_cell_angle_alpha 90.00
_cell_angle_beta 90.00
_cell_angle_gamma 120.00
loop_
_atom_site_label
_atom_site_type_symbol
_atom_site_fract_x
_atom_site_fract_y
_atom_site_fract_z
Pm1 Pm 0.0000 0.0000 0.0000
Pr1 Pr 0.0000 0.0000 0.1239
Ga1 Ga 0.0000 0.0000 0.2672
Cu1 Cu 0.0000 0.0000 0.3950
```

VASP energy   -4.45 eV per atom
V   23.41 Å³ per atom
E_form   -0.37 eV per atom

---

First-principles (PBE) data for a relaxed PmGaCuPt crystal, as listed in the Alexandria database.

Geometry as CIF:
```
data_PmGaCuPt
_space_group_name_H-M_alt 'F -4 3 m'
_space_group_IT_number 216
_space_group_name_Hall 'F -4 2 3'
_cell_length_a 6.702
_cell_length_b 6.702
_cell_length_c 6.702
_cell_angle_alpha 90.00
_cell_angle_beta 90.00
_cell_angle_gamma 90.00
loop_
_atom_site_label
_atom_site_type_symbol
_atom_site_fract_x
_atom_site_fract_y
_atom_site_fract_z
Pm1 Pm 0.000 0.000 0.000
Ga1 Ga 0.000 0.000 0.500
Cu1 Cu 0.250 0.250 0.750
Pt1 Pt 0.250 0.250 0.250
```

VASP energy   -5.02 eV per atom
V   18.81 Å³ per atom
E_form   -0.54 eV per atom

---

First-principles (PBE) data for a relaxed PmGa4Cu2Pt crystal, as listed in the Alexandria database.

Geometry as CIF:
```
data_PmGa4Cu2Pt
_space_group_name_H-M_alt 'R -3 m'
_space_group_IT_number 166
_space_group_name_Hall '-R 3 2"'
_cell_length_a 4.2127
_cell_length_b 4.2127
_cell_length_c 27.1855
_cell_angle_alpha 90.00
_cell_angle_beta 90.00
_cell_angle_gamma 120.00
loop_
_atom_site_label
_atom_site_type_symbol
_atom_site_fract_x
_atom_site_fract_y
_atom_site_fract_z
Pm1 Pm 0.0000 0.0000 0.0000
Ga1 Ga 0.0000 0.0000 0.1274
Ga2 Ga 0.0000 0.0000 0.4015
Cu1 Cu 0.0000 0.0000 0.2469
Pt1 Pt 0.0000 0.0000 0.5000
```

VASP energy   -4.31 eV per atom
V   17.41 Å³ per atom
E_form   -0.42 eV per atom

---

First-principles (PBE) data for a relaxed PmGaCuPt3 crystal, as listed in the Alexandria database.

Geometry as CIF:
```
data_PmGaCuPt3
_space_group_name_H-M_alt 'C m c m'
_space_group_IT_number 63
_space_group_name_Hall '-C 2c 2'
_cell_length_a 6.616
_cell_length_b 11.882
_cell_length_c 5.733
_cell_angle_alpha 90.00
_cell_angle_beta 90.00
_cell_angle_gamma 90.00
loop_
_atom_site_label
_atom_site_type_symbol
_atom_site_fract_x
_atom_site_fract_y
_atom_site_fract_z
Pm1 Pm 0.000 0.206 0.250
Ga1 Ga 0.000 0.135 0.750
Cu1 Cu 0.000 0.438 0.250
Pt1 Pt 0.000 0.339 0.750
Pt2 Pt 0.211 0.000 0.000
```

VASP energy   -5.55 eV per atom
V   18.78 Å³ per atom
E_form   -0.55 eV per atom